[1]
Density functional theory data (PBE-GGA) for a geometry-optimized Pr4AlTl structure.

POSCAR file:
```
Pr4AlTl
1.0
-0.248 2.720 2.711
4.141 -5.299 5.694
5.202 2.206 -1.736
Pr Tl Al
4 1 1
Cartesian
3.430 0.038 0.275 Pr
5.912 -3.132 3.683 Pr
6.229 2.090 1.205 Pr
2.866 -2.463 5.464 Pr
4.547 -0.187 3.335 Tl
0.000 0.000 0.000 Al
```

## Properties
- Energy of formation: -0.02 eV per atom
- M_tot: 0.0 μB/cell
- ΔE to the lowest computed polymorph: 0.179 eV/atom

***

[2]
Density functional theory data (PBE-GGA) for a geometry-optimized PrTlSbAu structure.

POSCAR file:
```
PrTlSbAu
1.0
5.405 0.000 0.000
2.703 4.681 0.000
2.703 1.560 4.413
Tl Au Pr Sb
1 1 1 1
Cartesian
2.703 1.560 1.103 Tl
0.000 0.000 0.000 Au
8.108 4.681 3.310 Pr
5.405 3.121 2.207 Sb
```

## Properties
- E_form (uncorrected): -0.44 eV/atom
- M_tot: 0.0 μB/cell

***

[3]
Density functional theory data (PBE-GGA) for a geometry-optimized Na2LiCdHg6 structure.

POSCAR file:
```
Na2LiCdHg6
1.0
-3.385 -5.129 -5.047
5.971 -4.185 -0.814
2.472 -6.654 1.666
Hg Li Na Cd
6 1 2 1
Cartesian
0.692 -7.068 -1.219 Hg
2.182 -7.018 -4.022 Hg
2.876 -8.951 -0.174 Hg
2.021 -11.082 -3.492 Hg
4.366 -8.901 -2.977 Hg
3.037 -4.887 -0.704 Hg
1.293 -4.657 -2.931 Li
6.011 -8.606 -0.322 Na
-0.953 -7.363 -3.874 Na
0.000 0.000 0.000 Cd
```

## Properties
- Energy of formation: -0.17 eV per atom
- M_tot: 0.0 μB/cell